Nd2CrO5 | GGA+U | optimized geometry

Unit cell a=10.6906 b=3.9454 c=11.2876 alpha=90.00 beta=90.00 gamma=90.00
With the nearest neighbours (Å) after each atom.
Sites, in units of the cell vectors:
Nd (0.1006, 0.2500, 0.2196)  7 O 2.34-2.51
Nd (0.1398, 0.2500, 0.5530)  7 O 2.38-2.47
Nd (0.3602, 0.7500, 0.0530)  7 O 2.38-2.47
Nd (0.3994, 0.7500, 0.7196)  7 O 2.34-2.51
Nd (0.6006, 0.2500, 0.2804)  7 O 2.34-2.51
Nd (0.6398, 0.2500, 0.9470)  7 O 2.38-2.47
Nd (0.8602, 0.7500, 0.4470)  7 O 2.38-2.47
Nd (0.8994, 0.7500, 0.7804)  7 O 2.34-2.51
Cr (0.1863, 0.2500, 0.8723)  3 O 1.76-1.85
Cr (0.3137, 0.7500, 0.3723)  3 O 1.76-1.85
Cr (0.6863, 0.2500, 0.6277)  3 O 1.76-1.85
Cr (0.8137, 0.7500, 0.1277)  3 O 1.76-1.85
O (0.0110, 0.7500, 0.6025)  4 Nd 2.34-2.47
O (0.0255, 0.2500, 0.8371)  1 Cr 1.76
O (0.2253, 0.2500, 0.0315)  1 Cr 1.85
O (0.2258, 0.7500, 0.2306)  1 Cr 1.85
O (0.2313, 0.7500, 0.8748)  2 Cr 2.03
O (0.2687, 0.2500, 0.3748)  2 Cr 2.03
O (0.2742, 0.2500, 0.7306)  1 Cr 1.85
O (0.2747, 0.7500, 0.5315)  1 Cr 1.85
O (0.4745, 0.7500, 0.3371)  1 Cr 1.76
O (0.4890, 0.2500, 0.1025)  4 Nd 2.34-2.47
O (0.5110, 0.7500, 0.8975)  4 Nd 2.34-2.47
O (0.5255, 0.2500, 0.6629)  1 Cr 1.76
O (0.7253, 0.2500, 0.4685)  1 Cr 1.85
O (0.7258, 0.7500, 0.2694)  1 Cr 1.85
O (0.7313, 0.7500, 0.6252)  2 Cr 2.03
O (0.7687, 0.2500, 0.1252)  2 Cr 2.03
O (0.7742, 0.2500, 0.7694)  1 Cr 1.85
O (0.7747, 0.7500, 0.9685)  1 Cr 1.85
O (0.9745, 0.7500, 0.1629)  1 Cr 1.76
O (0.9890, 0.2500, 0.3975)  4 Nd 2.34-2.47

Values from the calculation:
As for the magnetization: 8.0 μB per cell. The crystal system is orthorhombic. The total energy comes out at -7.989 eV/atom. Its volume is 476 Å³/cell.